This record from the Alexandria database describes a relaxed Sb4AuI crystal. The functional is GGA-PBE.

The structure in POSCAR format:
```
Sb4AuI
1.0
8.0736 0.0000 -0.2590
0.0000 9.0476 0.0000
-2.3399 -4.5238 5.8313
Sb I Au
8 2 2
direct
0.6831 0.3136 0.6273 Sb
0.0000 0.6862 0.0000 Sb
0.0000 0.3138 0.0000 Sb
0.5820 0.4420 0.2525 Sb
0.3169 0.6864 0.3727 Sb
0.4180 0.5580 0.7475 Sb
0.5820 0.8105 0.2525 Sb
0.4180 0.1895 0.7475 Sb
0.7188 0.9358 0.8716 I
0.2812 0.0642 0.1284 I
0.8232 0.5938 0.1875 Au
0.1768 0.4062 0.8125 Au
```

Summary:
* symmetry: C2/m, No. 12
* volume: 420 Å³ per cell
* uncorrected formation energy: 0.05 eV per atom
* energy: -3.503 eV/atom